1.
MgBPbO4: relaxed, PBE.

Raw total energy   -84.817 eV for the cell shown
Magnetic moment   0.000 μB/atom

Cell lengths 5.9585, 5.9585, 5.9585 Å; angles 120.40, 118.91, 90.61 degrees
Sites, in units of the cell vectors:
1 Mg 0.0000 0.0000 0.0000
2 Mg 0.5000 0.0000 0.5000
3 B 0.3762 0.6262 0.7500
4 B 0.6238 0.3738 0.2500
5 Pb 0.0000 0.0000 0.5000
6 Pb 0.0000 0.5000 0.0000
7 O 0.2764 0.3034 0.5270
8 O 0.2764 0.7494 0.9730
9 O 0.2935 0.7401 0.5535
10 O 0.3134 0.2599 0.0535
11 O 0.6866 0.7401 0.9465
12 O 0.7065 0.2599 0.4465
13 O 0.7236 0.2506 0.0270
14 O 0.7236 0.6966 0.4730

=====

2.
Mg2B2PdO6: relaxed, PBE.

Raw total energy   -72.817 eV for the cell shown
Magnetic moment   0.182 μB/atom

Cell lengths 5.0761, 5.0761, 5.6865 Å; angles 90.00, 90.00, 120.00 degrees
Sites, in units of the cell vectors:
1 Mg 0.3333 0.6667 0.3200
2 Mg 0.6667 0.3333 0.6800
3 B 0.3333 0.6667 0.7737
4 B 0.6667 0.3333 0.2263
5 Pd 0.0000 0.0000 0.0000
6 O 0.0644 0.6726 0.7600
7 O 0.3274 0.3918 0.7600
8 O 0.3918 0.0644 0.2400
9 O 0.6082 0.9356 0.7600
10 O 0.6726 0.6082 0.2400
11 O 0.9356 0.3274 0.2400

=====

3.
PmMg2B2O6: relaxed, PBE.

Raw total energy   -79.095 eV for the cell shown
Magnetic moment   0.039 μB/atom

Cell lengths 5.0230, 5.0230, 7.7637 Å; angles 90.00, 90.00, 120.00 degrees
Sites, in units of the cell vectors:
1 Pm 0.0000 0.0000 0.0000
2 Mg 0.3333 0.6667 0.2949
3 Mg 0.6667 0.3333 0.7051
4 B 0.3333 0.6667 0.8067
5 B 0.6667 0.3333 0.1933
6 O 0.0509 0.6534 0.8108
7 O 0.3466 0.3975 0.8108
8 O 0.3975 0.0509 0.1892
9 O 0.6025 0.9491 0.8108
10 O 0.6534 0.6025 0.1892
11 O 0.9491 0.3466 0.1892

=====

4.
PmMgB2O6: relaxed, PBE.

Raw total energy   -75.474 eV for the cell shown
Magnetic moment   0.103 μB/atom

Cell lengths 6.1718, 6.1718, 6.1718 Å; angles 47.04, 47.04, 47.04 degrees
Sites, in units of the cell vectors:
1 Pm 0.0000 0.0000 0.0000
2 Mg 0.5000 0.5000 0.5000
3 B 0.2427 0.2427 0.2427
4 B 0.7573 0.7573 0.7573
5 O 0.0486 0.4915 0.7255
6 O 0.2745 0.9514 0.5085
7 O 0.4915 0.7255 0.0486
8 O 0.5085 0.2745 0.9514
9 O 0.7255 0.0486 0.4915
10 O 0.9514 0.5085 0.2745

=====

5.
PmMgBO4: relaxed, PBE.

Raw total energy   -97.486 eV for the cell shown
Magnetic moment   0.000 μB/atom

Cell lengths 5.9684, 5.9684, 5.9684 Å; angles 120.18, 116.41, 93.01 degrees
Sites, in units of the cell vectors:
1 Pm 0.0000 0.0000 0.0000
2 Pm 0.5000 0.0000 0.5000
3 Mg 0.5000 0.0000 0.0000
4 Mg 0.5000 0.5000 0.5000
5 B 0.1376 0.3876 0.7500
6 B 0.8624 0.6124 0.2500
7 O 0.1768 0.7227 0.4541
8 O 0.2313 0.2773 0.9541
9 O 0.2498 0.2890 0.5391
10 O 0.2498 0.7107 0.9609
11 O 0.7502 0.2893 0.0391
12 O 0.7502 0.7110 0.4609
13 O 0.7687 0.7227 0.0459
14 O 0.8232 0.2773 0.5459

=====

6.
Pr3MgB2O8: relaxed, PBE.

Raw total energy   -108.280 eV for the cell shown
Magnetic moment   0.000 μB/atom

Cell lengths 5.2266, 5.2266, 6.7028 Å; angles 90.00, 90.00, 120.00 degrees
Sites, in units of the cell vectors:
1 Pr 0.0000 0.0000 0.0000
2 Pr 0.3333 0.6667 0.6677
3 Pr 0.6667 0.3333 0.3323
4 Mg 0.0000 0.0000 0.5000
5 B 0.3333 0.6667 0.2241
6 B 0.6667 0.3333 0.7759
7 O 0.1780 0.3560 0.3096
8 O 0.1780 0.8220 0.3096
9 O 0.3333 0.6667 0.0109
10 O 0.3560 0.1780 0.6904
11 O 0.6440 0.8220 0.3096
12 O 0.6667 0.3333 0.9891
13 O 0.8220 0.1780 0.6904
14 O 0.8220 0.6440 0.6904

=====

7.
PrMgB5O10: relaxed, PBE.

Raw total energy   -539.986 eV for the cell shown
Magnetic moment   0.000 μB/atom

Cell lengths 8.8273, 7.6747, 12.7083 Å; angles 90.00, 131.52, 90.00 degrees
Sites, in units of the cell vectors:
1 Pr 0.0507 0.1891 0.2352
2 Pr 0.0507 0.3109 0.7352
3 Pr 0.9493 0.6891 0.2648
4 Pr 0.9493 0.8109 0.7648
5 Mg 0.4853 0.5884 0.8776
6 Mg 0.4853 0.9116 0.3776
7 Mg 0.5147 0.0884 0.6224
8 Mg 0.5147 0.4116 0.1224
9 B 0.0959 0.6717 0.6095
10 B 0.0959 0.8283 0.1095
11 B 0.1573 0.5951 0.0058
12 B 0.1573 0.9049 0.5058
13 B 0.2709 0.0324 0.0526
14 B 0.2709 0.4676 0.5526
15 B 0.3537 0.5820 0.2665
16 B 0.3537 0.9180 0.7665
17 B 0.4854 0.1861 0.9146
18 B 0.4854 0.3139 0.4146
19 B 0.5146 0.6861 0.5854
20 B 0.5146 0.8139 0.0854
21 B 0.6463 0.0820 0.2335
22 B 0.6463 0.4180 0.7335
23 B 0.7291 0.5324 0.4474
24 B 0.7291 0.9676 0.9474
25 B 0.8427 0.0951 0.4942
26 B 0.8427 0.4049 0.9942
27 B 0.9041 0.1717 0.8905
28 B 0.9041 0.3283 0.3905
29 O 0.0301 0.7228 0.9891
30 O 0.0301 0.7772 0.4891
31 O 0.0833 0.1041 0.9145
32 O 0.0833 0.3959 0.4145
33 O 0.1211 0.5389 0.8899
34 O 0.1211 0.9611 0.3899
35 O 0.2127 0.7196 0.2396
36 O 0.2127 0.7804 0.7396
37 O 0.2340 0.5250 0.6462
38 O 0.2340 0.9750 0.1462
39 O 0.3199 0.6268 0.5092
40 O 0.3199 0.8732 0.0092
41 O 0.3206 0.5359 0.1379
42 O 0.3206 0.9641 0.6379
43 O 0.3232 0.0812 0.8122
44 O 0.3232 0.4188 0.3122
45 O 0.4342 0.1523 0.4298
46 O 0.4342 0.3477 0.9298
47 O 0.4411 0.1536 0.1269
48 O 0.4411 0.3464 0.6269
49 O 0.5589 0.6536 0.3731
50 O 0.5589 0.8464 0.8731
51 O 0.5658 0.6523 0.0702
52 O 0.5658 0.8477 0.5702
53 O 0.6768 0.5812 0.6878
54 O 0.6768 0.9188 0.1878
55 O 0.6794 0.0359 0.3621
56 O 0.6794 0.4641 0.8621
57 O 0.6801 0.1268 0.9908
58 O 0.6801 0.3732 0.4908
59 O 0.7660 0.0250 0.8538
60 O 0.7660 0.4750 0.3538
61 O 0.7873 0.2196 0.2604
62 O 0.7873 0.2804 0.7604
63 O 0.8789 0.0389 0.6101
64 O 0.8789 0.4611 0.1101
65 O 0.9167 0.6041 0.5855
66 O 0.9167 0.8959 0.0855
67 O 0.9699 0.2228 0.5109
68 O 0.9699 0.2772 0.0109

=====

8.
PuMgB2O6: relaxed, PBE.

Raw total energy   -85.812 eV for the cell shown
Magnetic moment   0.400 μB/atom

Cell lengths 6.0050, 6.0050, 6.0050 Å; angles 47.83, 47.83, 47.83 degrees
Sites, in units of the cell vectors:
1 Pu 0.0000 0.0000 0.0000
2 Mg 0.5000 0.5000 0.5000
3 B 0.2454 0.2454 0.2454
4 B 0.7546 0.7546 0.7546
5 O 0.0447 0.4757 0.7383
6 O 0.2617 0.9553 0.5243
7 O 0.4757 0.7383 0.0447
8 O 0.5243 0.2617 0.9553
9 O 0.7383 0.0447 0.4757
10 O 0.9553 0.5243 0.2617

=====

9.
RbMg2B2O6: relaxed, PBE.

Raw total energy   -72.343 eV for the cell shown
Magnetic moment   0.091 μB/atom

Cell lengths 5.6295, 5.6320, 5.8220 Å; angles 72.88, 62.17, 61.33 degrees
Sites, in units of the cell vectors:
1 Rb 0.0000 0.0000 0.0000
2 Mg 0.2826 0.3756 0.2698
3 Mg 0.7174 0.6244 0.7302
4 B 0.3894 0.3003 0.7223
5 B 0.6106 0.6997 0.2777
6 O 0.1518 0.4393 0.6509
7 O 0.4283 0.9660 0.3393
8 O 0.4492 0.4072 0.8638
9 O 0.5508 0.5928 0.1362
10 O 0.5717 0.0340 0.6607
11 O 0.8482 0.5607 0.3491

=====

10.
Rb2MgBO4: relaxed, PBE.

Raw total energy   -89.278 eV for the cell shown
Magnetic moment   0.126 μB/atom

Cell lengths 12.2423, 11.0633, 6.2131 Å; angles 85.36, 64.25, 30.39 degrees
Sites, in units of the cell vectors:
1 Rb 0.0487 0.0487 0.7013
2 Rb 0.2987 0.2987 0.9513
3 Rb 0.7013 0.7013 0.0487
4 Rb 0.9513 0.9513 0.2987
5 Mg 0.1250 0.1250 0.1250
6 Mg 0.8750 0.8750 0.8750
7 B 0.3750 0.3750 0.3750
8 B 0.6250 0.6250 0.6250
9 O 0.0766 0.5937 0.5204
10 O 0.3093 0.5204 0.5937
11 O 0.4063 0.9234 0.6907
12 O 0.4796 0.6907 0.9234
13 O 0.5204 0.3093 0.0766
14 O 0.5937 0.0766 0.3093
15 O 0.6907 0.4796 0.4063
16 O 0.9234 0.4063 0.4796

=====

11.
MgBRhO5: relaxed, PBE.

Raw total energy   -106.695 eV for the cell shown
Magnetic moment   0.053 μB/atom

Cell lengths 5.0891, 5.0891, 6.9072 Å; angles 104.29, 104.29, 106.28 degrees
Sites, in units of the cell vectors:
1 Mg 0.1509 0.8491 0.7500
2 Mg 0.8491 0.1509 0.2500
3 B 0.1890 0.8110 0.2500
4 B 0.8110 0.1890 0.7500
5 Rh 0.5000 0.5000 0.0000
6 Rh 0.5000 0.5000 0.5000
7 O 0.0906 0.2277 0.9126
8 O 0.1559 0.5801 0.3444
9 O 0.2277 0.0906 0.4126
10 O 0.4001 0.5999 0.7500
11 O 0.4199 0.8441 0.1556
12 O 0.5801 0.1559 0.8444
13 O 0.5999 0.4001 0.2500
14 O 0.7723 0.9094 0.5874
15 O 0.8441 0.4199 0.6556
16 O 0.9094 0.7723 0.0874

=====

12.
Mg2B2RhO6: relaxed, PBE.

Raw total energy   -74.804 eV for the cell shown
Magnetic moment   0.091 μB/atom

Cell lengths 5.0223, 5.0223, 5.6723 Å; angles 90.00, 90.00, 120.00 degrees
Sites, in units of the cell vectors:
1 Mg 0.3333 0.6667 0.3090
2 Mg 0.6667 0.3333 0.6910
3 B 0.3333 0.6667 0.7752
4 B 0.6667 0.3333 0.2248
5 Rh 0.0000 0.0000 0.0000
6 O 0.0672 0.6843 0.7642
7 O 0.3157 0.3829 0.7642
8 O 0.3829 0.0672 0.2358
9 O 0.6171 0.9328 0.7642
10 O 0.6843 0.6171 0.2358
11 O 0.9328 0.3157 0.2358

=====

These records have raw formation energy values of -1.51; -1.94; -2.55; -2.60; -2.27; -2.81; -2.69; -2.68; -2.28; -1.82; -1.62; -1.92 eV per atom, in the order they appear.